KLiGa2I4 after structural relaxation. Source: Alexandria via LeMat-Bulk, functional PBE-GGA.

Output
Total moment = 0.00 μB/atom
Total energy = -2.701 eV/atom
ΔE_f (raw) = -612 kJ/mol of formula units
Space-group type = C2/c

```
KLiGa2I4
1.0
9.429 0.022 -0.042
0.015 9.429 -0.042
-4.700 -4.703 6.728
Ga I Li K
4 8 2 2
direct
0.500 0.000 0.000
0.000 0.000 0.500
0.500 0.000 0.500
0.500 0.500 0.000
0.723 0.254 0.488
0.746 0.757 0.988
0.277 0.746 0.512
0.254 0.243 0.012
0.246 0.777 0.012
0.754 0.223 0.988
0.743 0.754 0.512
0.257 0.246 0.488
0.500 0.500 0.500
0.000 0.000 0.000
0.000 0.500 0.000
0.000 0.500 0.500
```


K2MgGaI5 after structural relaxation. Source: Alexandria via LeMat-Bulk, functional PBE-GGA.

Output
Total moment = 0.00 μB/atom
Total energy = -2.652 eV/atom
ΔE_f (raw) = -898 kJ/mol of formula units
Space-group type = Cmc2_1

```
K2MgGaI5
1.0
-1.166 -4.324 0.893
10.338 -0.406 -0.141
0.349 3.251 16.209
K I Ga Mg
4 10 2 2
direct
0.864 0.728 0.798
0.077 0.153 0.644
0.923 0.847 0.144
0.136 0.272 0.298
0.094 0.189 0.074
0.906 0.811 0.574
0.629 0.257 0.488
0.249 0.499 0.656
0.292 0.585 0.414
0.497 0.995 0.768
0.708 0.415 0.914
0.751 0.501 0.156
0.371 0.743 0.988
0.503 0.005 0.268
0.554 0.109 0.949
0.446 0.891 0.449
0.766 0.532 0.533
0.234 0.468 0.033
```


KMgGaI4 after structural relaxation. Source: Alexandria via LeMat-Bulk, functional PBE-GGA.

Output
Total moment = 0.00 μB/atom
Total energy = -2.643 eV/atom
ΔE_f (raw) = -635 kJ/mol of formula units
Space-group type = P2_1/m

```
KMgGaI4
1.0
8.012 0.000 0.134
0.000 8.402 0.000
-2.963 0.000 9.070
I Ga K Mg
8 2 2 2
direct
0.015 0.003 0.262
0.985 0.997 0.738
0.458 0.750 0.601
0.542 0.250 0.399
0.552 0.250 0.864
0.985 0.503 0.738
0.448 0.750 0.136
0.015 0.497 0.262
0.772 0.750 0.462
0.228 0.250 0.538
0.226 0.250 0.047
0.774 0.750 0.953
0.756 0.250 0.681
0.244 0.750 0.319
```


KMnGaI4 after structural relaxation. Source: Alexandria via LeMat-Bulk, functional PBE-GGA.

Output
Total moment = 0.71 μB/atom
Total energy = -3.486 eV/atom
ΔE_f (raw) = -473 kJ/mol of formula units
Space-group type = P2_1/m

```
KMnGaI4
1.0
-5.842 2.690 4.505
3.331 -3.826 6.605
6.975 6.480 0.236
K I Ga Mn
2 8 2 2
direct
0.230 0.250 0.051
0.770 0.750 0.949
0.008 0.497 0.263
0.008 0.003 0.263
0.439 0.750 0.137
0.992 0.503 0.737
0.992 0.997 0.737
0.561 0.250 0.863
0.552 0.250 0.405
0.448 0.750 0.595
0.769 0.750 0.457
0.231 0.250 0.543
0.233 0.750 0.317
0.767 0.250 0.683
```